Below is a geometry-optimized Dy6Pt5Au structure, with properties calculated at the PBE-GGA level.

Cell lengths 4.9727, 7.0103, 8.5959 Å; angles 114.06, 106.81, 90.00 degrees
Closest atoms and distances in Å follow each position.
Sites, in units of the cell vectors:
Au (0.0000, 0.0000, 0.0000)  8 Dy 3.07-3.08
Dy (0.8313, 0.0844, 0.6625)  7 Pt 3.00-3.06, 1 Au 3.08
Pt (0.3314, 0.3314, 0.6627)  8 Dy 3.00-3.04
Dy (0.8312, 0.5780, 0.6625)  7 Pt 3.00-3.06, 1 Au 3.08
Dy (0.5000, 0.7438, 0.0000)  6 Pt 3.02-3.04, 2 Au 3.07
Pt (0.6686, 0.6686, 0.3373)  8 Dy 3.00-3.04
Pt (0.6641, 0.1641, 0.3282)  8 Dy 3.03-3.06
Dy (0.1687, 0.9156, 0.3375)  7 Pt 3.00-3.06, 1 Au 3.08
Dy (0.1688, 0.4220, 0.3375)  7 Pt 3.00-3.06, 1 Au 3.08
Pt (0.0000, 0.5000, 0.0000)  8 Dy 3.02-3.05
Pt (0.3359, 0.8359, 0.6718)  8 Dy 3.03-3.06
Dy (0.5000, 0.2562, 0.0000)  6 Pt 3.02-3.04, 2 Au 3.07

Output
- total energy (eV/cell) = -75.03
- total moment (μB per formula unit) = 0.00
- D(E_F) (states/eV per cell) = 6.6